1.
## AlB2Mo (PBE-GGA)

Data for a geometry-optimized AlB2Mo structure.

Output
* total moment: 0.00 Bohr magnetons per cell
* density of states at the Fermi level: 8.8 states/eV per cell
* calculated formation energy: 0.54 eV per atom

Lattice parameters (Å, degrees): 5.876 5.876 5.247 90.00 90.00 90.00
Space group I-42d (No. 122)
Inequivalent atoms, fractional coordinates:
Al 0.000 0.000 0.000 (multiplicity 4)
B 0.248 0.250 0.125 (multiplicity 8)
Mo 0.000 0.000 0.500 (multiplicity 4)

***

2.
## MgCu2Se2 (PBE-GGA)

Data for a geometry-optimized MgCu2Se2 structure.

Output
* ΔE_f (raw): 0.0859 eV/atom
* total moment: 0.00 Bohr magnetons per cell
* density of states at the Fermi level: 3.7 states/eV per cell
* offset from the most stable computed form: 57.4 kJ/mol of atoms

Lattice parameters (Å, degrees): 4.108 4.108 11.093 90.00 90.00 90.00
Space group I4/mmm (No. 139)
Inequivalent atoms, fractional coordinates:
Mg 0.000 0.000 0.000 (multiplicity 2)
Cu 0.000 0.000 0.393 (multiplicity 4)
Se 0.000 0.500 0.250 (multiplicity 4)